# PmGa3H | Alexandria via LeMat-Bulk | PBE | optimized geometry
# mass density: 6.86 Mg/m³
# energy: -3.663 eV/atom
# crystal system: cubic
data_PmGa3H
_chemical_formula_sum 'Pm1 Ga3 H1'
_cell_length_a 4.413
_cell_length_b 4.413
_cell_length_c 4.413
_cell_angle_alpha 90.00
_cell_angle_beta 90.00
_cell_angle_gamma 90.00
_space_group_name_H-M_alt 'P m -3 m'
_space_group_IT_number 221
_space_group_name_Hall '-P 4 2 3'
loop_
_atom_site_label
_atom_site_fract_x
_atom_site_fract_y
_atom_site_fract_z
Pm1 0.000 0.000 0.000
Ga1 0.000 0.500 0.500
H1 0.500 0.500 0.500

---

# Mn2GaH | Alexandria via LeMat-Bulk | PBE | optimized geometry
# mass density: 6.70 Mg/m³
# energy: -5.825 eV/atom
# crystal system: trigonal
data_Mn2GaH
_chemical_formula_sum 'Mn6 Ga3 H3'
_cell_length_a 3.4723
_cell_length_b 3.4723
_cell_length_c 12.8602
_cell_angle_alpha 90.00
_cell_angle_beta 90.00
_cell_angle_gamma 120.00
_space_group_name_H-M_alt 'R -3 m'
_space_group_IT_number 166
_space_group_name_Hall '-R 3 2"'
loop_
_atom_site_label
_atom_site_fract_x
_atom_site_fract_y
_atom_site_fract_z
Mn1 0.0000 0.0000 0.1997
Ga1 0.0000 0.0000 0.0000
H1 0.0000 0.0000 0.5000

---

# YGa2Co2C | Alexandria via LeMat-Bulk | PBE | optimized geometry
# mass density: 6.33 Mg/m³
# energy: -6.215 eV/atom
# formation enthalpy at 0 K: -0.222 eV/atom
# crystal system: tetragonal
data_YGa2Co2C
_chemical_formula_sum 'Y2 Ga4 Co4 C2'
_cell_length_a 3.911
_cell_length_b 3.911
_cell_length_c 12.287
_cell_angle_alpha 90.00
_cell_angle_beta 90.00
_cell_angle_gamma 90.00
_space_group_name_H-M_alt 'I 4/m m m'
_space_group_IT_number 139
_space_group_name_Hall '-I 4 2'
loop_
_atom_site_label
_atom_site_fract_x
_atom_site_fract_y
_atom_site_fract_z
Y1 0.000 0.000 0.000
Ga1 0.000 0.500 0.250
Co1 0.000 0.000 0.361
C1 0.000 0.000 0.500

---

# LaY2Zr | Alexandria via LeMat-Bulk | PBE | optimized geometry
# mass density: 5.56 Mg/m³
# energy: -6.473 eV/atom
# formation enthalpy at 0 K: 0.128 eV/atom
# crystal system: tetragonal
data_LaY2Zr
_chemical_formula_sum 'La2 Y4 Zr2'
_cell_length_a 4.980
_cell_length_b 4.980
_cell_length_c 9.820
_cell_angle_alpha 90.00
_cell_angle_beta 90.00
_cell_angle_gamma 90.00
_space_group_name_H-M_alt 'I -4 m 2'
_space_group_IT_number 119
_space_group_name_Hall 'I -4 -2'
loop_
_atom_site_label
_atom_site_fract_x
_atom_site_fract_y
_atom_site_fract_z
La1 0.000 0.000 0.000
Y1 0.000 0.000 0.500
Y2 0.000 0.500 0.750
Zr1 0.000 0.500 0.250

---

# InNi4Au | Alexandria via LeMat-Bulk | PBE | optimized geometry
# mass density: 11.14 Mg/m³
# energy: -4.857 eV/atom
# formation enthalpy at 0 K: 0.000 eV/atom
# crystal system: cubic
data_InNi4Au
_chemical_formula_sum 'In4 Ni16 Au4'
_cell_length_a 6.881
_cell_length_b 6.881
_cell_length_c 6.881
_cell_angle_alpha 90.00
_cell_angle_beta 90.00
_cell_angle_gamma 90.00
_space_group_name_H-M_alt 'F -4 3 m'
_space_group_IT_number 216
_space_group_name_Hall 'F -4 2 3'
loop_
_atom_site_label
_atom_site_fract_x
_atom_site_fract_y
_atom_site_fract_z
In1 0.000 0.000 0.000
Ni1 0.125 0.125 0.375
Au1 0.250 0.250 0.750

---

# Rb2TlSbBr6 | Alexandria via LeMat-Bulk | PBE | optimized geometry
# mass density: 3.85 Mg/m³
# energy: -2.956 eV/atom
# E_form (uncorrected): -1.110 eV/atom
# crystal system: cubic
data_Rb2TlSbBr6
_chemical_formula_sum 'Rb8 Tl4 Sb4 Br24'
_cell_length_a 11.897
_cell_length_b 11.897
_cell_length_c 11.897
_cell_angle_alpha 90.00
_cell_angle_beta 90.00
_cell_angle_gamma 90.00
_space_group_name_H-M_alt 'F m -3 m'
_space_group_IT_number 225
_space_group_name_Hall '-F 4 2 3'
loop_
_atom_site_label
_atom_site_fract_x
_atom_site_fract_y
_atom_site_fract_z
Rb1 0.250 0.250 0.250
Tl1 0.000 0.000 0.000
Sb1 0.000 0.000 0.500
Br1 0.000 0.000 0.264